# MnFeAs4 GGA-PBE optimized geometry
data_MnFeAs4
_cell_length_a 7.708
_cell_length_b 7.708
_cell_length_c 7.708
_cell_angle_alpha 90.00
_cell_angle_beta 90.00
_cell_angle_gamma 90.00
_space_group_name_H-M_alt 'F -4 3 m'
_space_group_IT_number 216
_space_group_name_Hall 'F -4 2 3'
loop_
_atom_site_label
_atom_site_fract_x
_atom_site_fract_y
_atom_site_fract_z
Mn1 0.000 0.000 0.000
Fe1 0.250 0.250 0.250
As1 0.125 0.125 0.625
# - total energy (eV per cell) = -127.35
# - formation enthalpy at 0 K (kcal/mol of atoms) = 16.88
# - M_tot (μB per formula unit) = 7.6